(1)
# Y5OsAu2, relaxed, DFT PBE
# - Energy of formation from the pure elements: -0.541 eV per atom
# - Volume: 407 Å³/cell
# - Total energy: -54.437 eV per formula unit
# - Crystal system: orthorhombic
data_Y5OsAu2
_chemical_formula_sum 'Y10 Os2 Au4'
_cell_length_a 7.242
_cell_length_b 11.872
_cell_length_c 4.736
_cell_angle_alpha 90.00
_cell_angle_beta 90.00
_cell_angle_gamma 90.00
_space_group_name_H-M_alt 'P b a m'
_space_group_IT_number 55
loop_
_space_group_symop_operation_xyz
'x,y,z'
'-x,-y,-z'
'-x,-y,z'
'x,y,-z'
'x+1/2,-y+1/2,-z'
'-x+1/2,y+1/2,z'
'-x+1/2,y+1/2,-z'
'x+1/2,-y+1/2,z'
loop_
_atom_site_label
_atom_site_type_symbol
_atom_site_fract_x
_atom_site_fract_y
_atom_site_fract_z
Y1 Y 0.000 0.000 0.000
Y2 Y 0.152 0.293 0.000
Y3 Y 0.178 0.586 0.500
Os1 Os 0.000 0.500 0.000
Au1 Au 0.069 0.837 0.500

***

(2)
# YOs3Au, relaxed, DFT PBE
# - Energy of formation from the pure elements: 2.083 eV per atom
# - Volume: 116 Å³/cell
# - Total energy: -33.016 eV per formula unit
# - Offset from the most stable computed form: 0.000 eV per atom
# - Crystal system: cubic
data_YOs3Au
_chemical_formula_sum 'Y1 Os3 Au1'
_cell_length_a 4.874
_cell_length_b 4.874
_cell_length_c 4.874
_cell_angle_alpha 90.00
_cell_angle_beta 90.00
_cell_angle_gamma 90.00
_space_group_name_H-M_alt 'P m -3 m'
_space_group_IT_number 221
_space_group_name_Hall '-P 4 2 3'
loop_
_atom_site_label
_atom_site_type_symbol
_atom_site_fract_x
_atom_site_fract_y
_atom_site_fract_z
Y1 Y 0.000 0.000 0.000
Os1 Os 0.000 0.500 0.500
Au1 Au 0.500 0.500 0.500

***

(3)
# YZrOsAu, relaxed, DFT PBE
# - Energy of formation from the pure elements: -0.395 eV per atom
# - Volume: 323 Å³/cell
# - Total energy: -31.098 eV per formula unit
# - Crystal system: cubic
data_YZrOsAu
_chemical_formula_sum 'Y4 Zr4 Os4 Au4'
_cell_length_a 6.864
_cell_length_b 6.864
_cell_length_c 6.864
_cell_angle_alpha 90.00
_cell_angle_beta 90.00
_cell_angle_gamma 90.00
_space_group_name_H-M_alt 'F -4 3 m'
_space_group_IT_number 216
_space_group_name_Hall 'F -4 2 3'
loop_
_atom_site_label
_atom_site_type_symbol
_atom_site_fract_x
_atom_site_fract_y
_atom_site_fract_z
Y1 Y 0.000 0.000 0.000
Zr1 Zr 0.000 0.000 0.500
Os1 Os 0.250 0.250 0.250
Au1 Au 0.250 0.250 0.750

***

(4)
# ZnOsAu2, relaxed, DFT PBE
# - Energy of formation from the pure elements: 0.230 eV per atom
# - Volume: 193 Å³/cell
# - Total energy: -18.137 eV per formula unit
# - Crystal system: trigonal
data_ZnOsAu2
_chemical_formula_sum 'Zn3 Os3 Au6'
_cell_length_a 2.8377
_cell_length_b 2.8377
_cell_length_c 27.6618
_cell_angle_alpha 90.00
_cell_angle_beta 90.00
_cell_angle_gamma 120.00
_space_group_name_H-M_alt 'R 3 m'
_space_group_IT_number 160
_space_group_name_Hall 'R 3 -2"'
loop_
_atom_site_label
_atom_site_type_symbol
_atom_site_fract_x
_atom_site_fract_y
_atom_site_fract_z
Zn1 Zn 0.0000 0.0000 0.0000
Os1 Os 0.0000 0.0000 0.7426
Au1 Au 0.0000 0.0000 0.2527
Au2 Au 0.0000 0.0000 0.4948

***

> The highest total energy belongs to which entry?

ZnOsAu2

***

Copy entry 2 word for word.
# YOs3Au, relaxed, DFT PBE
# - Energy of formation from the pure elements: 2.083 eV per atom
# - Volume: 116 Å³/cell
# - Total energy: -33.016 eV per formula unit
# - Offset from the most stable computed form: 0.000 eV per atom
# - Crystal system: cubic
data_YOs3Au
_chemical_formula_sum 'Y1 Os3 Au1'
_cell_length_a 4.874
_cell_length_b 4.874
_cell_length_c 4.874
_cell_angle_alpha 90.00
_cell_angle_beta 90.00
_cell_angle_gamma 90.00
_space_group_name_H-M_alt 'P m -3 m'
_space_group_IT_number 221
_space_group_name_Hall '-P 4 2 3'
loop_
_atom_site_label
_atom_site_type_symbol
_atom_site_fract_x
_atom_site_fract_y
_atom_site_fract_z
Y1 Y 0.000 0.000 0.000
Os1 Os 0.000 0.500 0.500
Au1 Au 0.500 0.500 0.500

***

> Among the records above, which one has the lowest total energy?

Y5OsAu2